(1)
This record from the Alexandria database describes a relaxed Ho3AlGa2Ni9 crystal. The functional is PBE.

Unit cell a=5.9314 b=5.9314 c=8.6455 alpha=90.00 beta=90.00 gamma=120.00
Positions (direct):
Ho (0.3333, 0.6667, 0.7153)
Ho (0.0000, 0.0000, 0.0000)
Ho (0.6667, 0.3333, 0.2847)
Al (0.0000, 0.0000, 0.5000)
Ga (0.3333, 0.6667, 0.1840)
Ga (0.6667, 0.3333, 0.8160)
Ni (0.8679, 0.1321, 0.7234)
Ni (0.8679, 0.7358, 0.7234)
Ni (0.2642, 0.1321, 0.7234)
Ni (0.7358, 0.8679, 0.2766)
Ni (0.1321, 0.2642, 0.2766)
Ni (0.1321, 0.8679, 0.2766)
Ni (0.5000, 0.0000, 0.0000)
Ni (0.0000, 0.5000, 0.0000)
Ni (0.5000, 0.5000, 0.0000)

Output
For the total magnetization, the calculation gives 0.00 μB per formula unit. Its crystal system is trigonal. The total energy comes out at -77.8 eV for the cell shown.

***

(2)
This record from the Alexandria database describes a relaxed Ho2AlGa3Ni4 crystal. The functional is PBE.

Unit cell a=3.9139 b=3.9139 c=10.5879 alpha=90.00 beta=90.00 gamma=90.00
Positions (direct):
Ho (0.5000, 0.0000, 0.2538)
Ho (0.0000, 0.5000, 0.7462)
Al (0.5000, 0.5000, 0.5000)
Ga (0.0000, 0.0000, 0.5000)
Ga (0.5000, 0.0000, 0.8677)
Ga (0.0000, 0.5000, 0.1323)
Ni (0.5000, 0.5000, 0.0000)
Ni (0.0000, 0.0000, 0.0000)
Ni (0.5000, 0.0000, 0.6402)
Ni (0.0000, 0.5000, 0.3598)

Output
For the total magnetization, the calculation gives 0.00 μB per formula unit. Its crystal system is tetragonal. The total energy comes out at -51.0 eV for the cell shown.